*P*
A geometry-optimized Ga2Cu5Au2 structure. Source: Alexandria, functional GGA-PBE.

Cell lengths 4.994, 5.090, 6.412 Å; angles 87.94, 67.96, 62.45 degrees
Atoms (fractional coordinates):
Ga1 0.053 0.151 0.187
Ga2 0.947 0.849 0.813
Cu1 0.390 0.377 0.898
Cu2 0.464 0.863 0.775
Cu3 0.500 0.500 0.500
Cu4 0.536 0.137 0.225
Cu5 0.610 0.623 0.102
Au1 0.026 0.300 0.660
Au2 0.974 0.700 0.340

Properties
As for the total moment: 0.00 μB per formula unit. As for the symmetry: No. 2. Its volume is 132.0 Å³ per cell.

---

*Q*
A geometry-optimized Ga2Cu5Au2 structure. Source: Alexandria, functional GGA-PBE.

Cell lengths 9.151, 9.151, 9.151 Å; angles 146.90, 53.36, 139.39 degrees
Atoms (fractional coordinates):
Ga1 0.146 0.077 0.069
Ga2 0.492 0.923 0.569
Ga3 0.508 0.077 0.431
Ga4 0.854 0.923 0.931
Cu1 0.128 0.000 0.628
Cu2 0.128 0.500 0.128
Cu3 0.219 0.969 0.250
Cu4 0.424 0.000 0.924
Cu5 0.424 0.500 0.424
Cu6 0.576 0.000 0.076
Cu7 0.576 0.500 0.576
Cu8 0.781 0.031 0.750
Cu9 0.872 0.000 0.372
Cu10 0.872 0.500 0.872
Au1 0.000 0.500 0.500
Au2 0.183 0.433 0.750
Au3 0.500 0.500 0.000
Au4 0.817 0.567 0.250

Properties
As for the total moment: 0.00 μB per formula unit. As for the symmetry: No. 74. Its volume is 270.8 Å³ per cell.

---

Computed relative energies in units of eV/atom: *P* 0.000; *Q* 0.073